1.
# ThNbMo, relaxed, DFT GGA-PBE
data_ThNbMo
_symmetry_space_group_name_H-M 'F -4 3 m'
_symmetry_Int_Tables_number 216
_symmetry_space_group_name_Hall 'F -4 2 3'
_cell_length_a 6.620
_cell_length_b 6.620
_cell_length_c 6.620
_cell_angle_alpha 90.00
_cell_angle_beta 90.00
_cell_angle_gamma 90.00
loop_
_atom_site_label
_atom_site_fract_x
_atom_site_fract_y
_atom_site_fract_z
Th1 0.000 0.000 0.000
Nb1 0.000 0.000 0.500
Mo1 0.250 0.250 0.750
# Uncorrected energy (eV/atom): -8.97
# E above lowest polymorph (meV/atom): 0.0
# Calculated volume (Å³/cell): 290.1
# Energy relative to the elements (eV per formula unit): 1.439



2.
# NbTlMo2, relaxed, DFT GGA-PBE
data_NbTlMo2
_symmetry_space_group_name_H-M 'F -4 3 m'
_symmetry_Int_Tables_number 216
_symmetry_space_group_name_Hall 'F -4 2 3'
_cell_length_a 6.592
_cell_length_b 6.592
_cell_length_c 6.592
_cell_angle_alpha 90.00
_cell_angle_beta 90.00
_cell_angle_gamma 90.00
loop_
_atom_site_label
_atom_site_fract_x
_atom_site_fract_y
_atom_site_fract_z
Nb1 0.000 0.000 0.000
Tl1 0.250 0.250 0.750
Mo1 0.000 0.000 0.500
Mo2 0.250 0.250 0.250
# Uncorrected energy (eV/atom): -7.99
# Calculated volume (Å³/cell): 286.5



3.
# UNbMo, relaxed, DFT GGA-PBE
data_UNbMo
_symmetry_space_group_name_H-M 'F -4 3 m'
_symmetry_Int_Tables_number 216
_symmetry_space_group_name_Hall 'F -4 2 3'
_cell_length_a 6.268
_cell_length_b 6.268
_cell_length_c 6.268
_cell_angle_alpha 90.00
_cell_angle_beta 90.00
_cell_angle_gamma 90.00
loop_
_atom_site_label
_atom_site_fract_x
_atom_site_fract_y
_atom_site_fract_z
U1 0.000 0.000 0.000
Nb1 0.250 0.250 0.250
Mo1 0.250 0.250 0.750
# Uncorrected energy (eV/atom): -9.75
# E above lowest polymorph (meV/atom): 338.5
# Calculated volume (Å³/cell): 246.3
# Energy relative to the elements (eV per formula unit): 2.990



4.
# UNbMo, relaxed, DFT GGA-PBE
data_UNbMo
_symmetry_space_group_name_H-M 'F -4 3 m'
_symmetry_Int_Tables_number 216
_symmetry_space_group_name_Hall 'F -4 2 3'
_cell_length_a 6.356
_cell_length_b 6.356
_cell_length_c 6.356
_cell_angle_alpha 90.00
_cell_angle_beta 90.00
_cell_angle_gamma 90.00
loop_
_atom_site_label
_atom_site_fract_x
_atom_site_fract_y
_atom_site_fract_z
U1 0.000 0.000 0.000
Nb1 0.000 0.000 0.500
Mo1 0.250 0.250 0.750
# Uncorrected energy (eV/atom): -10.09
# E above lowest polymorph (meV/atom): 0.0
# Calculated volume (Å³/cell): 256.8
# Energy relative to the elements (eV per formula unit): 1.974



5.
# NbMoW2, relaxed, DFT GGA-PBE
data_NbMoW2
_symmetry_space_group_name_H-M 'F -4 3 m'
_symmetry_Int_Tables_number 216
_symmetry_space_group_name_Hall 'F -4 2 3'
_cell_length_a 6.411
_cell_length_b 6.411
_cell_length_c 6.411
_cell_angle_alpha 90.00
_cell_angle_beta 90.00
_cell_angle_gamma 90.00
loop_
_atom_site_label
_atom_site_fract_x
_atom_site_fract_y
_atom_site_fract_z
Nb1 0.000 0.000 0.000
Mo1 0.250 0.250 0.250
W1 0.000 0.000 0.500
W2 0.250 0.250 0.750
# Uncorrected energy (eV/atom): -11.79
# Calculated volume (Å³/cell): 263.5
# Energy relative to the elements (eV per formula unit): -0.312



6.
# NbMoW, relaxed, DFT GGA-PBE
data_NbMoW
_symmetry_space_group_name_H-M 'F -4 3 m'
_symmetry_Int_Tables_number 216
_symmetry_space_group_name_Hall 'F -4 2 3'
_cell_length_a 6.189
_cell_length_b 6.189
_cell_length_c 6.189
_cell_angle_alpha 90.00
_cell_angle_beta 90.00
_cell_angle_gamma 90.00
loop_
_atom_site_label
_atom_site_fract_x
_atom_site_fract_y
_atom_site_fract_z
Nb1 0.000 0.000 0.000
Mo1 0.000 0.000 0.500
W1 0.250 0.250 0.750
# Uncorrected energy (eV/atom): -10.47
# E above lowest polymorph (meV/atom): 0.0
# Calculated volume (Å³/cell): 237.1
# Energy relative to the elements (eV per formula unit): 2.484



7.
# NbMo6W, relaxed, DFT GGA-PBE
data_NbMo6W
_symmetry_space_group_name_H-M 'P 4/m m m'
_symmetry_Int_Tables_number 123
_symmetry_space_group_name_Hall '-P 4 2'
_cell_length_a 4.498
_cell_length_b 4.498
_cell_length_c 6.364
_cell_angle_alpha 90.00
_cell_angle_beta 90.00
_cell_angle_gamma 90.00
loop_
_atom_site_label
_atom_site_fract_x
_atom_site_fract_y
_atom_site_fract_z
Nb1 0.000 0.000 0.000
Mo1 0.000 0.000 0.500
Mo2 0.000 0.500 0.252
Mo3 0.500 0.500 0.000
W1 0.500 0.500 0.500
# Uncorrected energy (eV/atom): -11.06
# Calculated volume (Å³/cell): 128.8
# Energy relative to the elements (eV per formula unit): -0.368



8.
# NbMo2W, relaxed, DFT GGA-PBE
data_NbMo2W
_symmetry_space_group_name_H-M 'C m m m'
_symmetry_Int_Tables_number 65
_symmetry_space_group_name_Hall '-C 2 2'
_cell_length_a 6.396
_cell_length_b 6.403
_cell_length_c 3.199
_cell_angle_alpha 90.00
_cell_angle_beta 90.00
_cell_angle_gamma 90.00
loop_
_atom_site_label
_atom_site_fract_x
_atom_site_fract_y
_atom_site_fract_z
Nb1 0.000 0.000 0.000
Mo1 0.250 0.250 0.500
W1 0.000 0.500 0.000
# Uncorrected energy (eV/atom): -11.28
# E above lowest polymorph (meV/atom): 8.6
# Calculated volume (Å³/cell): 131.0
# Energy relative to the elements (eV per formula unit): -0.364